{"formula": "HfNF2", "functional": "PBEsol", "state": "optimized geometry", "dos_ef_per_ev_atom": 0.21, "relative_energy_mev_per_atom": 0, "formation_energy_uncorrected_ev_per_atom": -0.645, "mass_density_g_cm3": 5.7, "crystal_system": "trigonal", "lattice": [[1.462, 0.844, 9.019], [-1.462, 0.844, 9.019], [0.000, -1.688, 9.019]], "species": ["Hf", "N", "F", "F"], "fractional_positions": [[0.000, 0.000, 0.000], [0.500, 0.500, 0.500], [0.388, 0.388, 0.388], [0.612, 0.612, 0.612]]}

***

{"formula": "LaAgCl2", "functional": "PBEsol", "state": "optimized geometry", "dos_ef_per_ev_atom": 0.01, "relative_energy_mev_per_atom": 0, "formation_energy_uncorrected_ev_per_atom": -1.236, "mass_density_g_cm3": 6.1, "crystal_system": "tetragonal", "lattice": [[-2.297, 2.297, 4.089], [2.297, -2.297, 4.089], [2.297, 2.297, -4.089]], "species": ["La", "Ag", "Cl", "Cl"], "fractional_positions": [[0.000, 0.000, 0.000], [0.500, 0.500, 0.000], [0.250, 0.750, 0.500], [0.750, 0.250, 0.500]]}

***

{"formula": "SmAlGe", "functional": "PBEsol", "state": "optimized geometry", "dos_ef_per_ev_atom": 0.06, "formation_energy_ev_per_atom": -0.70, "mass_density_g_cm3": 6.6, "crystal_system": "tetragonal", "lattice": [[-2.080, 2.080, 7.291], [2.080, -2.080, 7.291], [2.080, 2.080, -7.291]], "species": ["Sm", "Sm", "Al", "Al", "Ge", "Ge"], "fractional_positions": [[0.000, 0.000, 0.000], [0.750, 0.250, 0.500], [0.166, 0.666, 0.500], [0.416, 0.416, 0.000], [0.331, 0.831, 0.500], [0.581, 0.581, 0.000]]}

***

{"formula": "Ba2Ag", "functional": "PBEsol", "state": "optimized geometry", "dos_ef_per_ev_atom": 1.22, "relative_energy_mev_per_atom": 35, "formation_energy_ev_per_atom": -0.10, "mass_density_g_cm3": 5.3, "crystal_system": "hexagonal", "lattice": [[9.029, 0.000, 0.000], [-4.514, 7.819, 0.000], [0.000, 0.000, 5.050]], "species": ["Ba", "Ba", "Ba", "Ba", "Ba", "Ba", "Ag", "Ag", "Ag"], "fractional_positions": [[0.000, 0.260, 0.000], [0.000, 0.595, 0.500], [0.260, 0.000, 0.000], [0.405, 0.405, 0.500], [0.595, 0.000, 0.500], [0.740, 0.740, 0.000], [0.000, 0.000, 0.500], [0.333, 0.667, 0.000], [0.667, 0.333, 0.000]]}

***

{"formula": "CaSbIr2", "functional": "PBEsol", "state": "optimized geometry", "dos_ef_per_ev_atom": 0.55, "formation_energy_uncorrected_ev_per_atom": 0.011, "mass_density_g_cm3": 12.4, "crystal_system": "monoclinic", "lattice": [[4.565, -1.514, 0.000], [4.565, 1.514, 0.000], [-0.806, 0.000, 5.302]], "species": ["Ca", "Sb", "Ir", "Ir"], "fractional_positions": [[0.000, 0.000, 0.000], [0.500, 0.500, 0.500], [0.247, 0.247, 0.712], [0.753, 0.753, 0.288]]}

***

{"formula": "ZnSI2", "functional": "PBEsol", "state": "optimized geometry", "dos_ef_per_ev_atom": 0.18, "formation_energy_uncorrected_ev_per_atom": 0.292, "mass_density_g_cm3": 5.0, "crystal_system": "tetragonal", "lattice": [[-3.807, 3.807, 4.065], [3.807, -3.807, 4.065], [3.807, 3.807, -4.065]], "species": ["Zn", "Zn", "S", "S", "I", "I", "I", "I"], "fractional_positions": [[0.000, 0.000, 0.000], [0.750, 0.250, 0.500], [0.250, 0.750, 0.500], [0.500, 0.500, 0.000], [0.077, 0.625, 0.952], [0.375, 0.327, 0.452], [0.673, 0.125, 0.048], [0.875, 0.923, 0.548]]}

***

{"formula": "Ca2YPd2", "functional": "PBEsol", "state": "optimized geometry", "dos_ef_per_ev_atom": 0.68, "formation_energy_ev_per_atom": -0.58, "mass_density_g_cm3": 5.3, "crystal_system": "tetragonal", "lattice": [[7.395, 0.000, 0.000], [0.000, 7.395, 0.000], [0.000, 0.000, 4.369]], "species": ["Ca", "Ca", "Ca", "Ca", "Y", "Y", "Pd", "Pd", "Pd", "Pd"], "fractional_positions": [[0.165, 0.335, 0.000], [0.335, 0.835, 0.000], [0.665, 0.165, 0.000], [0.835, 0.665, 0.000], [0.000, 0.000, 0.500], [0.500, 0.500, 0.500], [0.132, 0.632, 0.500], [0.368, 0.132, 0.500], [0.632, 0.868, 0.500], [0.868, 0.368, 0.500]]}

***

{"formula": "LaSi2Mo2", "functional": "PBEsol", "state": "optimized geometry", "dos_ef_per_ev_atom": 0.76, "formation_energy_uncorrected_ev_per_atom": -0.173, "mass_density_g_cm3": 6.7, "crystal_system": "tetragonal", "lattice": [[-2.303, 2.303, 4.510], [2.303, -2.303, 4.510], [2.303, 2.303, -4.510]], "species": ["La", "Si", "Si", "Mo", "Mo"], "fractional_positions": [[0.000, 0.000, 0.000], [0.250, 0.750, 0.500], [0.750, 0.250, 0.500], [0.375, 0.375, 0.000], [0.625, 0.625, 0.000]]}

***

{"formula": "KCr3Pt", "functional": "PBEsol", "state": "optimized geometry", "dos_ef_per_ev_atom": 1.85, "formation_energy_ev_per_atom": 1.23, "mass_density_g_cm3": 5.2, "crystal_system": "cubic", "lattice": [[4.987, 0.000, 0.000], [0.000, 4.987, 0.000], [0.000, 0.000, 4.987]], "species": ["K", "Cr", "Cr", "Cr", "Pt"], "fractional_positions": [[0.000, 0.000, 0.000], [0.000, 0.500, 0.500], [0.500, 0.000, 0.500], [0.500, 0.500, 0.000], [0.500, 0.500, 0.500]]}

***

{"formula": "Ba3La2Ti2Nb2O15", "functional": "PBEsol", "state": "optimized geometry", "dos_ef_per_ev_atom": 0.00, "formation_energy_uncorrected_ev_per_atom": -3.070, "mass_density_g_cm3": 6.3, "crystal_system": "trigonal", "lattice": [[5.657, 0.000, 0.000], [-2.828, 4.899, 0.000], [0.000, 0.000, 11.539]], "species": ["Ba", "Ba", "Ba", "La", "La", "Ti", "Ti", "Nb", "Nb", "O", "O", "O", "O", "O", "O", "O", "O", "O", "O", "O", "O", "O", "O", "O"], "fractional_positions": [[0.000, 0.000, 0.000], [0.333, 0.667, 0.422], [0.667, 0.333, 0.578], [0.333, 0.667, 0.785], [0.667, 0.333, 0.215], [0.333, 0.667, 0.097], [0.667, 0.333, 0.903], [0.000, 0.000, 0.308], [0.000, 0.000, 0.692], [0.000, 0.500, 0.000], [0.169, 0.338, 0.193], [0.169, 0.831, 0.193], [0.173, 0.346, 0.619], [0.173, 0.827, 0.619], [0.338, 0.169, 0.807], [0.346, 0.173, 0.381], [0.500, 0.000, 0.000], [0.500, 0.500, 0.000], [0.654, 0.827, 0.619], [0.662, 0.831, 0.193], [0.827, 0.173, 0.381], [0.827, 0.654, 0.381], [0.831, 0.169, 0.807], [0.831, 0.662, 0.807]]}

***

{"formula": "Sc2CO", "functional": "PBEsol", "state": "optimized geometry", "dos_ef_per_ev_atom": 0.10, "relative_energy_mev_per_atom": 0, "formation_energy_uncorrected_ev_per_atom": -1.965, "mass_density_g_cm3": 4.2, "crystal_system": "trigonal", "lattice": [[1.606, 0.927, 5.245], [-1.606, 0.927, 5.245], [0.000, -1.854, 5.245]], "species": ["Sc", "Sc", "C", "O"], "fractional_positions": [[0.247, 0.247, 0.247], [0.753, 0.753, 0.753], [0.500, 0.500, 0.500], [0.000, 0.000, 0.000]]}

***

{"formula": "Li2NiP2O7", "functional": "PBEsol", "state": "optimized geometry", "dos_ef_per_ev_atom": 0.01, "relative_energy_mev_per_atom": 0, "formation_energy_uncorrected_ev_per_atom": -2.038, "mass_density_g_cm3": 2.9, "crystal_system": "orthorhombic", "lattice": [[-3.169, 6.454, 3.441], [3.169, -6.454, 3.441], [3.169, 6.454, -3.441]], "species": ["Li", "Li", "Li", "Li", "Ni", "Ni", "P", "P", "P", "P", "O", "O", "O", "O", "O", "O", "O", "O", "O", "O", "O", "O", "O", "O"], "fractional_positions": [[0.276, 0.000, 0.776], [0.276, 0.500, 0.276], [0.724, 0.000, 0.224], [0.724, 0.500, 0.724], [0.500, 0.000, 0.000], [0.500, 0.500, 0.500], [0.088, 0.445, 0.643], [0.303, 0.445, 0.857], [0.697, 0.555, 0.143], [0.912, 0.555, 0.357], [0.076, 0.326, 0.750], [0.143, 0.698, 0.445], [0.215, 0.368, 0.441], [0.215, 0.774, 0.847], [0.247, 0.302, 0.945], [0.427, 0.368, 0.653], [0.427, 0.774, 0.059], [0.573, 0.226, 0.941], [0.573, 0.632, 0.347], [0.753, 0.698, 0.055], [0.785, 0.226, 0.153], [0.785, 0.632, 0.559], [0.857, 0.302, 0.555], [0.924, 0.674, 0.250]]}

***

What is the formula in the sixth record?
ZnSI2